[1]
This record from Alexandria describes an optimized crystal structure of Sb2S2Cl. The functional is PBE.

Calculated values
ΔE to the lowest computed polymorph   32 meV per atom

```
Sb2S2Cl
1.0
-4.339 1.237 1.636
-1.919 -1.097 -4.260
-3.986 -5.269 0.450
S Cl Sb
2 1 2
direct
0.250 0.750 0.500
0.750 0.250 0.500
0.000 0.000 0.000
0.352 0.352 0.297
0.648 0.648 0.703
```

=====

[2]
This record from Alexandria describes an optimized crystal structure of Sb3SCl. The functional is PBE.

Calculated values
ΔE to the lowest computed polymorph   0 meV per atom

```
Sb3SCl
1.0
5.260 0.000 0.000
0.000 5.260 0.000
0.000 0.000 5.260
S Cl Sb
1 1 3
direct
0.000 0.000 0.000
0.500 0.500 0.500
0.500 0.000 0.000
0.000 0.000 0.500
0.000 0.500 0.000
```

=====

Uncorrected energy values, unit eV per atom, following the record order: -3.89 -3.18.